Entry 1:
## Sr2CuSn4Pt3 (GGA-PBE)

Data for a relaxed Sr2CuSn4Pt3 crystal.

The structure belongs to space group P-4m2 (No. 115); the cell edges are 4.6482, 4.6482 and 10.9207 Å and the angles 90.00°, 90.00° and 90.00°. The asymmetric unit holds Sr at (0.0000, 0.5000, 0.2430), Cu at (0.5000, 0.5000, 0.0000), Sn at (0.0000, 0.0000, 0.5000), Sn at (0.0000, 0.5000, 0.8767), Sn at (0.5000, 0.5000, 0.5000), Pt at (0.0000, 0.0000, 0.0000) and Pt at (0.0000, 0.5000, 0.6304).

Its calculated density is 9.1 g/cm³. Its formation energy is -0.695 eV per atom. Its total energy is -4.855 eV per atom.

=====

Entry 2:
## SrCuSnPt3 (GGA-PBE)

Data for a relaxed SrCuSnPt3 crystal.

The structure belongs to space group Cmcm (No. 63); the cell edges are 5.8481, 11.7757 and 7.4262 Å and the angles 90.00°, 90.00° and 90.00°. The asymmetric unit holds Sr at (0.0000, 0.1879, 0.2500), Cu at (0.0000, 0.4339, 0.2500), Sn at (0.0000, 0.1220, 0.7500), Pt at (0.0000, 0.3439, 0.7500) and Pt at (0.2471, 0.0000, 0.0000).

Its calculated density is 11.1 g/cm³. Its formation energy is -0.405 eV per atom. Its total energy is -5.056 eV per atom.

=====

Entry 3:
## TbCuSn2Pt4 (GGA-PBE)

Data for a relaxed TbCuSn2Pt4 crystal.

The structure belongs to space group R-3m (No. 166, hexagonal axes); the cell edges are 4.4682, 4.4682 and 26.0561 Å and the angles 90.00°, 90.00° and 120.00°. The asymmetric unit holds Tb at (0.0000, 0.0000, 0.0000), Cu at (0.0000, 0.0000, 0.5000), Sn at (0.0000, 0.0000, 0.2426), Pt at (0.0000, 0.0000, 0.1353) and Pt at (0.0000, 0.0000, 0.3986).

Its calculated density is 13.7 g/cm³. Its formation energy is -0.614 eV per atom. Its total energy is -5.726 eV per atom.

=====

Entry 4:
## TbCuSnPt (GGA-PBE)

Data for a relaxed TbCuSnPt crystal.

The structure belongs to space group F-43m (No. 216); the cell edges are 6.7511, 6.7511 and 6.7511 Å and the angles 90.00°, 90.00° and 90.00°. The asymmetric unit holds Tb at (0.0000, 0.0000, 0.0000), Cu at (0.2500, 0.2500, 0.7500), Sn at (0.0000, 0.0000, 0.5000) and Pt at (0.2500, 0.2500, 0.2500).

Its calculated density is 11.6 g/cm³. Its formation energy is -0.679 eV per atom. Its total energy is -5.372 eV per atom.